# PBE Ho3Cu2Pt6, optimized geometry
data_Ho3Cu2Pt6
_chemical_formula_sum 'Ho6 Cu4 Pt12'
_cell_length_a 8.1889
_cell_length_b 8.1889
_cell_length_c 8.1889
_cell_angle_alpha 109.47
_cell_angle_beta 109.47
_cell_angle_gamma 109.47
_space_group_name_H-M_alt 'P 1'
_space_group_IT_number 1
loop_
_space_group_symop_operation_xyz
'x,y,z'
loop_
_atom_site_label
_atom_site_fract_x
_atom_site_fract_y
_atom_site_fract_z
Pt1 0.3325 0.6650 0.3325
Pt2 0.3325 0.0000 0.6675
Pt3 0.0000 0.6675 0.3325
Pt4 0.6675 0.3350 0.6675
Pt5 0.6675 0.0000 0.3325
Pt6 0.3325 0.3325 0.6650
Pt7 0.6675 0.3325 0.0000
Pt8 0.6650 0.3325 0.3325
Pt9 0.3325 0.6675 0.0000
Pt10 0.0000 0.3325 0.6675
Pt11 0.3350 0.6675 0.6675
Pt12 0.6675 0.6675 0.3350
Cu1 0.5000 0.0000 0.0000
Cu2 0.0000 0.0000 0.5000
Cu3 0.5000 0.5000 0.5000
Cu4 0.0000 0.5000 0.0000
Ho1 0.0000 0.3018 0.3018
Ho2 0.3018 0.0000 0.3018
Ho3 0.6982 0.6982 0.0000
Ho4 0.0000 0.6982 0.6982
Ho5 0.3018 0.3018 0.0000
Ho6 0.6982 0.0000 0.6982
# D(E_F)   0.50 states/eV per atom
# V   19.21 Å³/atom
# DFT total energy   -135.01 eV for the cell shown

=====

# PBE ScFeTc2, optimized geometry
data_ScFeTc2
_chemical_formula_sum 'Sc1 Fe1 Tc2'
_cell_length_a 4.4088
_cell_length_b 2.8001
_cell_length_c 4.9553
_cell_angle_alpha 80.52
_cell_angle_beta 90.00
_cell_angle_gamma 90.00
_space_group_name_H-M_alt 'P 1'
_space_group_IT_number 1
loop_
_space_group_symop_operation_xyz
'x,y,z'
loop_
_atom_site_label
_atom_site_fract_x
_atom_site_fract_y
_atom_site_fract_z
Tc1 0.0000 0.4640 0.4939
Tc2 0.0000 0.0360 0.0061
Sc1 0.5000 0.7500 0.7500
Fe1 0.5000 0.2500 0.2500
# D(E_F)   1.16 states/eV per atom
# V   15.08 Å³/atom
# Polymorph energy (0 for the lowest one)   123 meV per atom